! PBE Ce6HoTe8, optimized geometry; values from VASP
! E   -5.73 eV per atom
! Size of the total moment   7.4 Bohr magnetons per cell
! Symmetry   Fm-3m (225)
&SYSTEM
  ibrav = 0, nat = 15, ntyp = 3
/
ATOMIC_SPECIES
Ce 140.12 Ce.upf
Ho 164.93 Ho.upf
Te 127.60 Te.upf
CELL_PARAMETERS angstrom
7.7486 0.0000 4.4737
2.5829 7.3055 4.4737
0.0000 0.0000 8.9474
ATOMIC_POSITIONS crystal
Ce 0.0000 0.5000 0.5000
Ce 0.5000 0.0000 0.0000
Ce 0.5000 0.5000 0.0000
Ce 0.0000 0.0000 0.5000
Ce 0.0000 0.5000 0.0000
Ce 0.5000 0.0000 0.5000
Ho 0.0000 0.0000 0.0000
Te 0.7500 0.7500 0.7500
Te 0.2500 0.2500 0.2500
Te 0.7520 0.2480 0.2480
Te 0.2480 0.7520 0.7520
Te 0.2480 0.2480 0.7520
Te 0.7520 0.7520 0.2480
Te 0.7520 0.2480 0.7520
Te 0.2480 0.7520 0.2480